Record 1
14
Lattice="3.551 2.050 8.505 -3.551 2.050 8.505 0.000 -4.101 8.505" Properties=species:S:1:pos:R:3 comment="CsZn3Au3 (PBE-GGA, optimized geometry)" polymorph_energy_ev_per_atom=0.000 pbc="T T T"
Cs 0.000 0.000 4.246
Cs 0.000 0.000 21.269
Zn -2.056 0.525 7.510
Zn 0.573 -2.043 7.510
Zn -1.483 -1.518 18.005
Zn 1.483 1.518 7.510
Zn -0.573 2.043 18.005
Zn 2.056 -0.525 18.005
Au -1.643 -0.003 10.119
Au -0.819 -1.424 15.395
Au 0.824 -1.422 10.119
Au -0.824 1.422 15.395
Au 0.819 1.424 10.119
Au 1.643 0.003 15.395

---

Record 2
Here is crystalline Cs5Zn2Au5 at its relaxed geometry from Alexandria. Energies are from PBE-GGA.

Structure (extended XYZ):
```
12
Lattice="8.757 -2.319 0.000 8.757 2.319 0.000 -7.004 0.000 11.217" Properties=species:S:1:pos:R:3 pbc="T T T"
Cs 0.000 0.000 0.000
Cs 2.565 0.000 4.607
Cs 5.215 0.000 1.886
Cs 5.296 0.000 9.331
Cs 7.947 0.000 6.610
Zn 1.898 0.000 8.136
Zn 8.613 0.000 3.082
Au -3.502 0.000 5.609
Au -1.310 0.000 3.752
Au -0.424 0.000 9.488
Au 10.935 0.000 1.729
Au 11.821 0.000 7.465
```

---

Record 3
16
Lattice="5.854 0.000 0.000 0.000 5.854 0.000 0.000 0.000 16.562" Properties=species:S:1:pos:R:3 comment="CsZn2Au (PBE-GGA, optimized geometry)" polymorph_energy_ev_per_atom=0.129 pbc="T T T"
Cs 0.000 1.463 6.211
Cs 0.000 4.390 10.351
Cs 2.927 1.463 2.070
Cs 2.927 4.390 14.492
Zn 0.000 0.000 0.000
Zn 0.000 2.927 0.000
Zn 1.463 1.463 12.422
Zn 1.463 4.390 4.141
Zn 2.927 0.000 8.281
Zn 2.927 2.927 8.281
Zn 4.390 1.463 12.422
Zn 4.390 4.390 4.141
Au 0.000 1.463 14.492
Au 0.000 4.390 2.070
Au 2.927 1.463 10.351
Au 2.927 4.390 6.211

---

| no. | formation enthalpy at 0 K (meV per atom) |
| --- | --- |
| 1 | -143 |
| 2 | -236 |
| 3 | -71 |